(1)
The following is a DFT calculation (PBE) of a geometry-optimized Pr3InBi structure.

Structure (CIF):
```
data_Pr3InBi
_symmetry_space_group_name_H-M 'C 1 2/c 1'
_symmetry_Int_Tables_number 15
_symmetry_space_group_name_Hall '-C 2yc'
_cell_length_a 12.308
_cell_length_b 12.053
_cell_length_c 9.214
_cell_angle_alpha 90.00
_cell_angle_beta 90.01
_cell_angle_gamma 90.00
loop_
_atom_site_label
_atom_site_fract_x
_atom_site_fract_y
_atom_site_fract_z
Pr1 0.092 0.102 0.416
Pr2 0.093 0.398 0.584
Pr3 0.250 0.181 0.828
In1 0.249 0.048 0.135
Bi1 0.000 0.150 0.750
Bi2 0.000 0.351 0.250
```

Computed properties:
Crystal system = monoclinic


(2)
The following is a DFT calculation (PBE) of a geometry-optimized Pr8In2Bi structure.

Structure (CIF):
```
data_Pr8In2Bi
_symmetry_space_group_name_H-M 'C 1 2/m 1'
_symmetry_Int_Tables_number 12
_symmetry_space_group_name_Hall '-C 2y'
_cell_length_a 20.007
_cell_length_b 5.331
_cell_length_c 7.291
_cell_angle_alpha 90.00
_cell_angle_beta 103.91
_cell_angle_gamma 90.00
loop_
_atom_site_label
_atom_site_fract_x
_atom_site_fract_y
_atom_site_fract_z
Pr1 0.020 0.000 0.258
Pr2 0.095 0.500 0.970
Pr3 0.160 0.500 0.481
Pr4 0.210 0.000 0.814
In1 0.183 0.000 0.243
Bi1 0.000 0.500 0.500
```

Computed properties:
Crystal system = monoclinic


(3)
The following is a DFT calculation (PBE) of a geometry-optimized PrInBi3 structure.

Structure (CIF):
```
data_PrInBi3
_symmetry_space_group_name_H-M 'C 1 2/c 1'
_symmetry_Int_Tables_number 15
_symmetry_space_group_name_Hall '-C 2yc'
_cell_length_a 16.296
_cell_length_b 13.032
_cell_length_c 6.148
_cell_angle_alpha 90.00
_cell_angle_beta 90.12
_cell_angle_gamma 90.00
loop_
_atom_site_label
_atom_site_fract_x
_atom_site_fract_y
_atom_site_fract_z
Pr1 0.215 0.128 0.304
In1 0.000 0.164 0.250
In2 0.000 0.456 0.250
Bi1 0.085 0.310 0.606
Bi2 0.100 0.081 0.822
Bi3 0.202 0.388 0.194
```

Computed properties:
Crystal system = monoclinic


(4)
The following is a DFT calculation (PBE) of a geometry-optimized Pr2InBi structure.

Structure (CIF):
```
data_Pr2InBi
_symmetry_space_group_name_H-M 'C 1 2/m 1'
_symmetry_Int_Tables_number 12
_symmetry_space_group_name_Hall '-C 2y'
_cell_length_a 7.684
_cell_length_b 4.425
_cell_length_c 8.546
_cell_angle_alpha 90.00
_cell_angle_beta 107.32
_cell_angle_gamma 90.00
loop_
_atom_site_label
_atom_site_fract_x
_atom_site_fract_y
_atom_site_fract_z
Pr1 0.246 0.000 0.238
In1 0.000 0.000 0.500
Bi1 0.000 0.500 0.000
```

Computed properties:
Crystal system = monoclinic


(5)
The following is a DFT calculation (PBE) of a geometry-optimized Pr2InBi structure.

Structure (CIF):
```
data_Pr2InBi
_symmetry_space_group_name_H-M 'C m c m'
_symmetry_Int_Tables_number 63
_symmetry_space_group_name_Hall '-C 2c 2'
_cell_length_a 4.727
_cell_length_b 25.253
_cell_length_c 4.548
_cell_angle_alpha 90.00
_cell_angle_beta 90.00
_cell_angle_gamma 90.00
loop_
_atom_site_label
_atom_site_fract_x
_atom_site_fract_y
_atom_site_fract_z
Pr1 0.000 0.063 0.250
Pr2 0.000 0.318 0.250
In1 0.000 0.460 0.250
Bi1 0.000 0.189 0.250
```

Computed properties:
Crystal system = orthorhombic


(6)
The following is a DFT calculation (PBE) of a geometry-optimized Pr10In3Bi3 structure.

Structure (CIF):
```
data_Pr10In3Bi3
_symmetry_space_group_name_H-M 'P -6 2 m'
_symmetry_Int_Tables_number 189
_symmetry_space_group_name_Hall 'P -6 -2'
_cell_length_a 9.4956
_cell_length_b 9.4956
_cell_length_c 6.8466
_cell_angle_alpha 90.00
_cell_angle_beta 90.00
_cell_angle_gamma 120.00
loop_
_atom_site_label
_atom_site_fract_x
_atom_site_fract_y
_atom_site_fract_z
Pr1 0.0000 0.2411 0.0000
Pr2 0.0000 0.7614 0.5000
Pr3 0.3333 0.6667 0.2510
In1 0.0000 0.3960 0.5000
Bi1 0.0000 0.6087 0.0000
```

Computed properties:
Crystal system = hexagonal


Number 1: size of the total moment 0.00 μB/cell, energy -4.686 eV/atom, energy of formation from the pure elements -0.49 eV/atom. Number 2: size of the total moment 0.00 μB/cell, energy -4.607 eV/atom, energy of formation from the pure elements -0.28 eV/atom. Number 3: size of the total moment 0.00 μB/cell, energy -4.136 eV/atom, energy of formation from the pure elements -0.30 eV/atom. Number 4: size of the total moment 0.00 μB/cell, energy -4.623 eV/atom, energy of formation from the pure elements -0.58 eV/atom. Number 5: size of the total moment 0.00 μB/cell, energy -4.732 eV/atom, energy of formation from the pure elements -0.69 eV/atom. Number 6: size of the total moment 0.00 μB/cell, energy -4.789 eV/atom, energy of formation from the pure elements -0.56 eV/atom.